(1)
Material: CrTc4Pb
Method: DFT, PBE
State: relaxed Values from VASP.

The value obtained for the energy relative to the elements is 0.579 eV/atom. The value obtained for the volume is 100.0 Å³/f.u. As for the uncorrected energy: -51.322 eV/cell. The calculation puts the density of states at the Fermi level at 7.90 states/eV/cell.

```
&SYSTEM
  ibrav = 0, nat = 6, ntyp = 3
/
ATOMIC_SPECIES
Cr 52.00 Cr.upf
Tc 98.00 Tc.upf
Pb 207.20 Pb.upf
ATOMIC_POSITIONS angstrom
Cr 0.000 0.000 0.000
Tc 2.761 2.761 2.761
Tc 4.608 4.608 2.761
Tc 4.608 2.761 4.608
Tc 2.761 4.608 4.608
Pb 5.527 5.527 5.527
CELL_PARAMETERS angstrom
0.000 3.685 3.685
3.685 0.000 3.685
3.685 3.685 0.000
```

=====

(2)
Material: Ho3As2H
Method: DFT, PBE
State: relaxed Values from VASP.

The value obtained for the volume is 133.6 Å³/f.u. As for the uncorrected energy: -65.016 eV/cell. The calculation puts the density of states at the Fermi level at 5.04 states/eV/cell.

```
&SYSTEM
  ibrav = 0, nat = 12, ntyp = 3
/
ATOMIC_SPECIES
Ho 164.93 Ho.upf
As 74.92 As.upf
H 1.01 H.upf
ATOMIC_POSITIONS angstrom
Ho 4.205 2.620 5.730
Ho 3.032 0.006 3.185
Ho 1.713 -0.006 7.005
Ho 8.016 0.006 0.635
Ho 6.697 -0.006 4.455
Ho 5.524 -2.620 1.910
As 1.866 0.006 0.645
As 0.547 -0.006 4.465
As 9.182 0.006 3.175
As 7.863 -0.006 6.995
H 4.205 0.264 5.730
H 5.524 -0.264 1.910
CELL_PARAMETERS angstrom
6.183 -2.828 0.000
6.183 2.828 0.000
-2.638 0.000 7.640
```

=====

(3)
Material: LaBe5
Method: DFT, PBE
State: relaxed Values from VASP.

The value obtained for the energy relative to the elements is 0.056 eV/atom. The value obtained for the volume is 81.2 Å³/f.u. As for the uncorrected energy: -23.223 eV/cell. The calculation puts the density of states at the Fermi level at 1.23 states/eV/cell.

```
&SYSTEM
  ibrav = 0, nat = 6, ntyp = 2
/
ATOMIC_SPECIES
La 138.91 La.upf
Be 9.01 Be.upf
ATOMIC_POSITIONS angstrom
La 0.000 0.000 0.000
Be 1.226 0.000 3.640
Be 2.469 0.000 1.986
Be 3.528 0.000 3.936
Be 4.606 0.000 2.090
Be 6.293 0.000 3.202
CELL_PARAMETERS angstrom
3.586 -1.820 0.000
3.586 1.820 0.000
-1.364 0.000 6.225
```